Computed, not measured: a relaxed structure of K3RuC at the GGA-PBEsol level of DFT.

Lattice parameters (Å, degrees): 6.0019 6.0019 6.0019 90.00 90.00 90.00
Site moments in Bohr magnetons follow the coordinates.
Atoms (fractional coordinates):
Ru 0.0000 0.0000 0.0000  1.83
K 0.0000 0.5000 0.0000  0.02
K 0.0000 0.0000 0.5000  0.02
K 0.5000 0.0000 0.0000  0.02
C 0.5000 0.5000 0.5000  1.11

Output
* magnetic moment: 5.12 μB/cell
* formation enthalpy at 0 K: 2.17 eV per atom